[1]
A relaxed structure of SrGdZn2. Source: the Alexandria database, functional GGA-PBE.

Calculated values
Total energy in eV/atom: -4.5988

Structure (POSCAR):
```
SrGdZn2
1.0
-0.2091 1.1996 3.7784
1.8088 -2.0903 2.8492
7.7826 4.4630 1.0992
Sr Zn Gd
1 2 1
direct
0.5000 0.5000 0.5000
0.2569 0.2569 0.2292
0.7431 0.7431 0.7708
0.0000 0.0000 0.0000
```

[2]
A relaxed structure of SrGdZn2. Source: the Alexandria database, functional GGA-PBE.

Calculated values
Total energy in eV/atom: -4.8337

Structure (POSCAR):
```
SrGdZn2
1.0
3.7592 0.0000 0.0000
0.0000 3.7592 0.0000
0.0000 0.0000 7.4550
Sr Zn Gd
1 2 1
direct
0.5000 0.5000 0.5000
0.0000 0.0000 0.2125
0.0000 0.0000 0.7875
0.5000 0.5000 0.0000
```

[3]
A relaxed structure of SrGdZn4. Source: the Alexandria database, functional GGA-PBE.

Calculated values
Total energy in eV/atom: -3.6867

Structure (POSCAR):
```
SrGdZn4
1.0
5.6377 0.0000 0.0000
2.8188 4.8824 0.0000
2.8188 1.6275 4.6031
Zn Gd Sr
4 1 1
direct
0.6265 0.1204 0.6265
0.1204 0.6265 0.6265
0.6265 0.6265 0.6265
0.6265 0.6265 0.1204
0.0000 0.0000 0.0000
0.2500 0.2500 0.2500
```

[4]
A relaxed structure of Sr2GdZn. Source: the Alexandria database, functional GGA-PBE.

Calculated values
Total energy in eV/atom: -4.4145

Structure (POSCAR):
```
Sr2GdZn
1.0
-3.6311 -1.2524 -0.1485
-1.4520 -2.0351 2.9198
-5.4257 9.1000 6.1745
Zn Sr Gd
1 2 1
direct
0.5000 0.5000 0.5000
0.1006 0.1006 0.6983
0.8994 0.8994 0.3017
0.0000 0.0000 0.0000
```

[5]
A relaxed structure of GdTa2. Source: the Alexandria database, functional GGA-PBE.

Calculated values
Total energy in eV/atom: -12.3197

Structure (POSCAR):
```
GdTa2
1.0
-3.9061 -1.7282 3.8446
1.6651 -2.8409 4.7097
-0.2905 2.5454 5.1440
Ta Gd
4 2
direct
0.1250 0.6250 0.6250
0.6250 0.6250 0.1250
0.6250 0.6250 0.6250
0.6250 0.1250 0.6250
0.2500 0.2500 0.2500
0.0000 0.0000 0.0000
```

[6]
A relaxed structure of GdTaTc4. Source: the Alexandria database, functional GGA-PBE.

Calculated values
Total energy in eV/atom: -11.2391

Structure (POSCAR):
```
GdTaTc4
1.0
5.2885 0.0000 0.0000
2.6442 4.5800 0.0000
2.6442 1.5267 4.3180
Tc Gd Ta
4 1 1
direct
0.6244 0.1268 0.6244
0.1268 0.6244 0.6244
0.6244 0.6244 0.1268
0.6244 0.6244 0.6244
0.0000 0.0000 0.0000
0.2500 0.2500 0.2500
```

[7]
A relaxed structure of GdTaTc2. Source: the Alexandria database, functional GGA-PBE.

Calculated values
Total energy in eV/atom: -11.7769

Structure (POSCAR):
```
GdTaTc2
1.0
-2.7920 -1.6464 -0.4016
0.4102 0.0943 -3.2389
3.4370 -5.8927 0.2637
Gd Tc Ta
1 2 1
direct
0.5000 0.5000 0.5000
0.0000 0.0000 0.7797
0.0000 0.0000 0.2203
0.5000 0.5000 0.0000
```

[8]
A relaxed structure of GdTh2Ta. Source: the Alexandria database, functional GGA-PBE.

Calculated values
Total energy in eV/atom: -9.5731

Structure (POSCAR):
```
GdTh2Ta
1.0
-2.3000 2.0366 1.2272
-3.0166 0.0962 -1.3545
-5.4431 -7.9885 7.5152
Th Gd Ta
2 1 1
direct
0.9192 0.9192 0.2424
0.0808 0.0808 0.7576
0.5000 0.5000 0.5000
0.0000 0.0000 0.0000
```

[9]
A relaxed structure of GdThTa4. Source: the Alexandria database, functional GGA-PBE.

Calculated values
Total energy in eV/atom: -11.3268

Structure (POSCAR):
```
GdThTa4
1.0
5.7517 0.0000 0.0000
2.8759 4.9812 0.0000
2.8759 1.6604 4.6963
Ta Th Gd
4 1 1
direct
0.6254 0.1239 0.6254
0.6254 0.6254 0.6254
0.6254 0.6254 0.1239
0.1239 0.6254 0.6254
0.2500 0.2500 0.2500
0.0000 0.0000 0.0000
```

[10]
A relaxed structure of GdTaTi2. Source: the Alexandria database, functional GGA-PBE.

Calculated values
Total energy in eV/atom: -10.2960

Structure (POSCAR):
```
GdTaTi2
1.0
-0.8344 -0.4367 -3.3419
-1.0095 -3.2523 0.6771
-6.3966 2.2566 1.3022
Ti Ta Gd
2 1 1
direct
0.0000 0.0000 0.8028
0.0000 0.0000 0.1972
0.5000 0.5000 0.0000
0.5000 0.5000 0.5000
```

[11]
A relaxed structure of GdTaW4. Source: the Alexandria database, functional GGA-PBE.

Calculated values
Total energy in eV/atom: -12.8106

Structure (POSCAR):
```
GdTaW4
1.0
-0.4412 4.0368 -3.6032
-4.8742 2.1031 -1.1368
-1.2528 5.0095 1.6759
Gd W Ta
1 4 1
direct
0.0000 0.0000 0.0000
0.6250 0.6250 0.1250
0.6250 0.1250 0.6250
0.6250 0.6250 0.6250
0.1250 0.6250 0.6250
0.2500 0.2500 0.2500
```

[12]
A relaxed structure of GdTaZn4. Source: the Alexandria database, functional GGA-PBE.

Calculated values
Total energy in eV/atom: -5.2524

Structure (POSCAR):
```
GdTaZn4
1.0
5.2696 0.0000 0.0000
2.6348 4.5636 0.0000
2.6348 1.5212 4.3026
Zn Ta Gd
4 1 1
direct
0.6263 0.6263 0.6263
0.6263 0.1210 0.6263
0.6263 0.6263 0.1210
0.1210 0.6263 0.6263
0.0000 0.0000 0.0000
0.2500 0.2500 0.2500
```

[13]
A relaxed structure of GdZr2Ta. Source: the Alexandria database, functional GGA-PBE.

Calculated values
Distance to the lowest polymorph of the same formula in meV per atom: 174.2

Structure (POSCAR):
```
GdZr2Ta
1.0
3.1668 0.0000 0.0000
1.5834 2.7425 0.0000
1.5834 0.9142 11.0861
Zr Gd Ta
2 1 1
direct
0.9054 0.9054 0.2839
0.0946 0.0946 0.7161
0.0000 0.0000 0.0000
0.5000 0.5000 0.5000
```

[14]
A relaxed structure of GdZrTa4. Source: the Alexandria database, functional GGA-PBE.

Calculated values
Total energy in eV/atom: -11.4747

Structure (POSCAR):
```
GdZrTa4
1.0
5.6538 0.0000 0.0000
2.8269 4.8963 0.0000
2.8269 1.6321 4.6163
Gd Zr Ta
1 1 4
direct
0.0000 0.0000 0.0000
0.2500 0.2500 0.2500
0.6251 0.6251 0.1246
0.6251 0.1246 0.6251
0.6251 0.6251 0.6251
0.1246 0.6251 0.6251
```

[15]
A relaxed structure of GdZr2Ta. Source: the Alexandria database, functional GGA-PBE.

Calculated values
Distance to the lowest polymorph of the same formula in meV per atom: 0.0

Structure (POSCAR):
```
GdZr2Ta
1.0
-3.0811 -0.7454 -1.5556
1.5517 -2.5887 -1.8329
-1.6358 -4.9557 5.6147
Zr Ta Gd
2 1 1
direct
0.0000 0.0000 0.7945
0.0000 0.0000 0.2055
0.5000 0.5000 0.0000
0.5000 0.5000 0.5000
```

| no. | theoretical density (g cm⁻³) |
| --- | --- |
| 1 | 5.2 |
| 2 | 5.9 |
| 3 | 6.6 |
| 4 | 4.3 |
| 5 | 12.8 |
| 6 | 11.6 |
| 7 | 12.2 |
| 8 | 11.6 |
| 9 | 13.7 |
| 10 | 8.7 |
| 11 | 15.8 |
| 12 | 9.6 |
| 13 | 9.0 |
| 14 | 12.6 |
| 15 | 9.0 |